Entry 1:
Material: LiErIrPb
Method: DFT, GGA-PBE
State: optimized geometry

```
LiErIrPb
1.0
0.000 3.383 3.383
3.383 0.000 3.383
3.383 3.383 0.000
Li Er Ir Pb
1 1 1 1
Direct
0.000 0.000 0.000
0.250 0.250 0.250
0.500 0.500 0.500
0.750 0.750 0.750
```

Summary:
Electronic total energy = -20.94 eV/cell
Total moment = 0.0 μB per formula unit

***

Entry 2:
Material: DyY2Mg9
Method: DFT, GGA-PBE
State: optimized geometry

```
DyY2Mg9
1.0
3.023 1.745 9.668
-3.023 1.745 9.668
0.000 -3.491 9.668
Dy Y Mg
1 2 9
Direct
0.000 0.000 0.000
0.142 0.142 0.142
0.858 0.858 0.858
0.079 0.587 0.587
0.334 0.334 0.334
0.413 0.413 0.921
0.413 0.921 0.413
0.500 0.500 0.500
0.587 0.079 0.587
0.587 0.587 0.079
0.666 0.666 0.666
0.921 0.413 0.413
```

Summary:
Electronic total energy = -32.39 eV/cell
Total moment = 0.0 μB per formula unit

***

Entry 3:
Material: LiHoCuIr
Method: DFT, GGA-PBE
State: optimized geometry

```
LiHoCuIr
1.0
0.000 3.246 3.246
3.246 0.000 3.246
3.246 3.246 0.000
Li Ho Cu Ir
1 1 1 1
Direct
0.000 0.000 0.000
0.500 0.500 0.500
0.750 0.750 0.750
0.250 0.250 0.250
```

Summary:
Electronic total energy = -20.68 eV/cell
Total moment = 0.0 μB per formula unit

***

Entry 4:
Material: GdNpTcRu
Method: DFT, GGA-PBE
State: optimized geometry

```
GdNpTcRu
1.0
0.000 3.393 3.393
3.393 0.000 3.393
3.393 3.393 0.000
Gd Np Tc Ru
1 1 1 1
Direct
0.000 0.000 0.000
0.500 0.500 0.500
0.750 0.750 0.750
0.250 0.250 0.250
```

Summary:
Electronic total energy = -46.56 eV/cell
Total moment = 9.6 μB per formula unit

***

Entry 5:
Material: YGaFe4
Method: DFT, GGA-PBE
State: optimized geometry

```
YGaFe4
1.0
0.000 3.509 3.509
3.509 0.000 3.509
3.509 3.509 0.000
Y Ga Fe
1 1 4
Direct
0.000 0.000 0.000
0.750 0.750 0.750
0.376 0.376 0.376
0.376 0.376 0.871
0.376 0.871 0.376
0.871 0.376 0.376
```

Summary:
Electronic total energy = -43.87 eV/cell
Total moment = 7.6 μB per formula unit

***

Entry 6:
Material: Tl2GaP
Method: DFT, GGA-PBE
State: optimized geometry

```
Tl2GaP
1.0
-3.311 3.311 5.714
3.311 -3.311 5.714
3.311 3.311 -5.714
Tl Ga P
4 2 2
Direct
0.107 0.625 0.982
0.375 0.357 0.482
0.643 0.125 0.018
0.875 0.893 0.518
0.250 0.750 0.500
0.500 0.500 0.000
0.000 0.000 0.000
0.750 0.250 0.500
```

Summary:
Electronic total energy = -23.78 eV/cell
Total moment = 0.0 μB per formula unit

***

Entry 7:
Material: Na2TcNiPd
Method: DFT, GGA-PBE
State: optimized geometry

```
Na2TcNiPd
1.0
5.044 0.000 0.000
0.000 5.044 0.000
0.000 0.000 5.069
Na Tc Ni Pd
2 1 1 1
Direct
0.000 0.500 0.000
0.500 0.000 0.000
0.000 0.000 0.500
0.500 0.500 0.500
0.000 0.000 0.000
```

Summary:
Electronic total energy = -17.33 eV/cell
Total moment = 4.5 μB per formula unit

***

Entry 8:
Material: LaPrMgSc
Method: DFT, GGA-PBE
State: optimized geometry

```
LaPrMgSc
1.0
3.851 0.000 0.000
0.000 3.851 0.000
0.000 0.000 8.291
La Pr Mg Sc
1 1 1 1
Direct
0.000 0.000 0.000
0.000 0.000 0.507
0.500 0.500 0.749
0.500 0.500 0.256
```

Summary:
Electronic total energy = -17.65 eV/cell
Total moment = 0.1 μB per formula unit

***

Entry 9:
Material: Rb2InN
Method: DFT, GGA-PBE
State: optimized geometry

```
Rb2InN
1.0
0.000 3.954 3.954
3.954 0.000 3.954
3.954 3.954 0.000
Rb In N
2 1 1
Direct
0.250 0.250 0.250
0.750 0.750 0.750
0.000 0.000 0.000
0.500 0.500 0.500
```

Summary:
Electronic total energy = -8.99 eV/cell
Total moment = 0.0 μB per formula unit
Formation energy from raw total energies = 1.003 eV per atom

***

Entry 10:
Material: Ca2Zn6Pt
Method: DFT, GGA-PBE
State: optimized geometry

```
Ca2Zn6Pt
1.0
4.968 -2.843 0.000
4.968 2.843 0.000
-0.052 0.000 5.926
Ca Zn Pt
2 6 1
Direct
0.166 0.166 0.142
0.834 0.834 0.858
0.149 0.676 0.334
0.323 0.323 0.664
0.324 0.851 0.666
0.676 0.149 0.334
0.677 0.677 0.336
0.851 0.324 0.666
0.500 0.500 0.000
```

Summary:
Electronic total energy = -21.22 eV/cell
Total moment = 0.0 μB per formula unit

***

Entry 11:
Material: LiNb2CoTe
Method: DFT, GGA-PBE
State: optimized geometry

```
LiNb2CoTe
1.0
5.109 0.000 0.000
0.000 5.109 0.000
0.000 0.000 4.563
Li Nb Co Te
1 2 1 1
Direct
0.000 0.000 0.000
0.000 0.500 0.500
0.500 0.000 0.500
0.500 0.500 0.000
0.500 0.500 0.500
```

Summary:
Electronic total energy = -26.04 eV/cell
Total moment = 0.0 μB per formula unit
Formation energy from raw total energies = 1.252 eV per atom

***

Entry 12:
Material: SmCu3S3
Method: DFT, GGA-PBE
State: optimized geometry

```
SmCu3S3
1.0
3.371 1.946 6.477
-3.371 1.946 6.477
0.000 -3.893 6.477
Sm Cu S
2 6 6
Direct
0.166 0.166 0.166
0.834 0.834 0.834
0.034 0.378 0.719
0.281 0.966 0.622
0.378 0.719 0.034
0.622 0.281 0.966
0.719 0.034 0.378
0.966 0.622 0.281
0.084 0.744 0.415
0.256 0.585 0.916
0.415 0.084 0.744
0.585 0.916 0.256
0.744 0.415 0.084
0.916 0.256 0.585
```

Summary:
Electronic total energy = -70.69 eV/cell
Total moment = 0.0 μB per formula unit
Formation energy from raw total energies = -0.851 eV per atom